# 1
This record from Alexandria describes a crystal of Li2YP relaxed with PBEsol. The functional is meta-GGA SCAN.

Cell lengths 6.9843, 3.9009, 10.5859 Å; angles 90.00, 90.00, 90.00 degrees
With the nearest neighbours (Å) after each atom.
Space group Pnma (No. 62)
One atom of each set of equivalent atoms:
Li1 0.0844 0.2500 0.0970 x4  2 P 2.63-2.68, 2 Li 2.85
Li2 0.1335 0.2500 0.5334 x4  3 P 2.50-2.51, 2 Li 2.79
Y1 0.2475 0.7500 0.3061 x4  4 P 2.81-2.86, 1 Li 3.00
P1 0.0491 0.7500 0.6705 x4  5 Li 2.50-2.68

DFT formation energy ... -846 meV/atom
E_tot ... -11.60 eV per atom

=====

# 2
This record from Alexandria describes a crystal of LiYP relaxed with PBEsol. The functional is meta-GGA SCAN.

Cell lengths 3.9922, 3.9922, 3.8125 Å; angles 90.00, 90.00, 120.00 degrees
With the nearest neighbours (Å) after each atom.
Space group P-6m2 (No. 187)
One atom of each set of equivalent atoms:
Li1 0.0000 0.0000 0.0000 x1  3 P 2.30
Y1 0.6667 0.3333 0.5000 x1  6 Li 2.99, 6 P 2.99
P1 0.3333 0.6667 0.0000 x1  3 Li 2.30

DFT formation energy ... -1156 meV/atom
E_tot ... -14.70 eV per atom

=====

# 3
This record from Alexandria describes a crystal of LiY3P relaxed with PBEsol. The functional is meta-GGA SCAN.

Cell lengths 5.2972, 5.2972, 5.2972 Å; angles 90.00, 90.00, 90.00 degrees
With the nearest neighbours (Å) after each atom.
Space group Pm-3m (No. 221)
One atom of each set of equivalent atoms:
Li1 0.0000 0.0000 0.0000 x1  12 Y 3.75
Y1 0.0000 0.5000 0.5000 x3  2 P 2.65
P1 0.5000 0.5000 0.5000 x1  6 Y 2.65

DFT formation energy ... -479 meV/atom
E_tot ... -19.74 eV per atom

=====

# 4
This record from Alexandria describes a crystal of Li2ZrP relaxed with PBEsol. The functional is meta-GGA SCAN.

Cell lengths 2.8595, 2.8595, 28.7287 Å; angles 90.00, 90.00, 120.00 degrees
With the nearest neighbours (Å) after each atom.
Space group R-3m (No. 166, hexagonal axes)
One atom of each set of equivalent atoms:
Li1 0.0000 0.0000 0.2343 x6  3 P 2.55
Zr1 0.0000 0.0000 0.0000 x3  6 Zr 2.86
P1 0.0000 0.0000 0.5000 x3  6 Li 2.55

DFT formation energy ... -28 meV/atom
E_tot ... -11.50 eV per atom

=====

# 5
This record from Alexandria describes a crystal of Li2ZrP relaxed with PBEsol. The functional is meta-GGA SCAN.

Cell lengths 2.7347, 2.7347, 8.9091 Å; angles 90.00, 90.00, 90.00 degrees
With the nearest neighbours (Å) after each atom.
Space group P4/mmm (No. 123)
One atom of each set of equivalent atoms:
Li1 0.0000 0.0000 0.1980 x2  4 P 2.62, 4 Li 2.73
Zr1 0.5000 0.5000 0.5000 x1  4 Zr 2.73
P1 0.5000 0.5000 0.0000 x1  8 Li 2.62, 4 P 2.73

DFT formation energy ... -50 meV/atom
E_tot ... -11.52 eV per atom

=====

# 6
This record from Alexandria describes a crystal of LiPaRu2 relaxed with PBEsol. The functional is meta-GGA SCAN.

Cell lengths 6.3110, 6.3110, 6.3110 Å; angles 90.00, 90.00, 90.00 degrees
With the nearest neighbours (Å) after each atom.
Space group Fm-3m (No. 225)
One atom of each set of equivalent atoms:
Li1 0.0000 0.0000 0.0000 x4  8 Ru 2.73
Pa1 0.0000 0.0000 0.5000 x4  8 Ru 2.73
Ru1 0.2500 0.2500 0.2500 x8  4 Li 2.73, 4 Pa 2.73

DFT formation energy ... -368 meV/atom
E_tot ... -43.29 eV per atom

=====

What did the fifth record say?
This record from Alexandria describes a crystal of Li2ZrP relaxed with PBEsol. The functional is meta-GGA SCAN.

Cell lengths 2.7347, 2.7347, 8.9091 Å; angles 90.00, 90.00, 90.00 degrees
With the nearest neighbours (Å) after each atom.
Space group P4/mmm (No. 123)
One atom of each set of equivalent atoms:
Li1 0.0000 0.0000 0.1980 x2  4 P 2.62, 4 Li 2.73
Zr1 0.5000 0.5000 0.5000 x1  4 Zr 2.73
P1 0.5000 0.5000 0.0000 x1  8 Li 2.62, 4 P 2.73

DFT formation energy ... -50 meV/atom
E_tot ... -11.52 eV per atom

=====

Question: The lowest DFT formation energy belongs to which entry?
Answer: LiYP